Below is a relaxed Nb3PdO crystal, with properties calculated at the PBE-GGA level.

Summary:
The total energy is -44.0 eV/cell. As for the symmetry: Pm-3m, No. 221. The density of states at the Fermi level comes out at 5.23 states/eV per cell. The calculation puts the energy relative to the elements, uncorrected at -722 meV/atom. For the spin magnetization, the calculation gives 0.00 μB/f.u.

abc: 4.248 4.248 4.248
angles: 90.00 90.00 90.00
Atoms (fractional coordinates):
Nb 0.500 0.000 0.000
Nb 0.000 0.000 0.500
Nb 0.000 0.500 0.000
O 0.000 0.000 0.000
Pd 0.500 0.500 0.500